Entry 1:
The following is a PBE calculation of crystalline SbPSe2N at its relaxed geometry, from the Alexandria database.

Density of states at the Fermi level: 3.06 states/eV per cell
Energy relative to the elements, uncorrected: 0.4698 eV per atom
Crystal system: tetragonal

abc: 5.149 5.149 3.410
angles: 90.00 90.00 90.00
Fractional coordinates of all 5 atoms:
1 Sb 0.500 0.500 0.500
2 N 0.000 0.000 0.500
3 Se 0.000 0.500 0.000
4 Se 0.500 0.000 0.000
5 P 0.000 0.000 0.000

***

Entry 2:
The following is a PBE calculation of crystalline K2NaIrF6 at its relaxed geometry, from the Alexandria database.

Density of states at the Fermi level: 0.00 states/eV per cell
Energy relative to the elements, uncorrected: -2.2920 eV per atom
Crystal system: cubic

abc: 6.040 6.040 6.040
angles: 60.00 60.00 60.00
Fractional coordinates of all 10 atoms:
1 Na 0.500 0.500 0.500
2 K 0.250 0.250 0.250
3 K 0.750 0.750 0.750
4 Ir 0.000 0.000 0.000
5 F 0.238 0.762 0.762
6 F 0.762 0.238 0.762
7 F 0.238 0.762 0.238
8 F 0.762 0.762 0.238
9 F 0.762 0.238 0.238
10 F 0.238 0.238 0.762

***

Entry 3:
The following is a PBE calculation of crystalline CeZn6CuNi at its relaxed geometry, from the Alexandria database.

Density of states at the Fermi level: 21.76 states/eV per cell
Formation enthalpy at 0 K: 227 meV per atom
Crystal system: orthorhombic

abc: 8.380 6.917 8.325
angles: 114.54 120.22 90.00
Site moments in Bohr magnetons follow the coordinates.
Fractional coordinates of all 18 atoms:
1 Ce 0.883 0.633 0.766  1.00
2 Ce 0.117 0.367 0.234  1.00
3 Zn 0.363 0.613 0.726  0.01
4 Zn 0.844 0.094 0.689  0.01
5 Zn 0.837 0.045 0.197  0.00
6 Zn 0.360 0.652 0.197  0.00
7 Zn 0.360 0.045 0.197  0.00
8 Zn 0.837 0.652 0.197  0.00
9 Zn 0.637 0.387 0.274  0.01
10 Zn 0.156 0.906 0.311  0.01
11 Zn 0.163 0.955 0.803  0.00
12 Zn 0.640 0.348 0.803  0.00
13 Zn 0.640 0.955 0.803  0.00
14 Zn 0.163 0.348 0.803  0.00
15 Cu 0.500 0.500 0.000  0.00
16 Cu 0.500 0.000 0.000  0.00
17 Ni 0.500 0.000 0.500  0.02
18 Ni 0.000 0.000 0.500  0.02

***

Entry 4:
The following is a PBE calculation of crystalline DyHo4N4 at its relaxed geometry, from the Alexandria database.

Density of states at the Fermi level: 2.65 states/eV per cell
Energy relative to the elements, uncorrected: -1.5324 eV per atom
Crystal system: tetragonal

abc: 4.887 6.017 6.016
angles: 80.52 66.04 66.04
Fractional coordinates of all 9 atoms:
1 Dy 0.000 0.000 0.000
2 Ho 0.609 0.579 0.203
3 Ho 0.391 0.421 0.797
4 Ho 0.188 0.203 0.421
5 Ho 0.812 0.797 0.579
6 N 0.901 0.398 0.800
7 N 0.099 0.602 0.200
8 N 0.299 0.800 0.602
9 N 0.701 0.200 0.398

***

Entry 5:
The following is a PBE calculation of crystalline Pr4Nd5Cd at its relaxed geometry, from the Alexandria database.

Density of states at the Fermi level: 12.95 states/eV per cell
Formation enthalpy at 0 K: -55 meV per atom
Crystal system: tetragonal

abc: 3.722 3.722 24.831
angles: 90.00 90.00 90.00
Fractional coordinates of all 10 atoms:
1 Pr 0.000 0.000 0.186
2 Pr 0.000 0.000 0.396
3 Pr 0.000 0.000 0.604
4 Pr 0.000 0.000 0.814
5 Nd 0.500 0.500 0.083
6 Nd 0.500 0.500 0.291
7 Nd 0.500 0.500 0.500
8 Nd 0.500 0.500 0.709
9 Nd 0.500 0.500 0.917
10 Cd 0.000 0.000 0.000

***

Entry 6:
The following is a PBE calculation of crystalline Co2Re2Rh at its relaxed geometry, from the Alexandria database.

Density of states at the Fermi level: 8.22 states/eV per cell
Formation enthalpy at 0 K: 111 meV per atom
Crystal system: tetragonal

abc: 6.997 6.997 2.690
angles: 90.00 90.00 90.00
Site moments in Bohr magnetons follow the coordinates.
Fractional coordinates of all 10 atoms:
1 Re 0.174 0.674 0.500  0.05
2 Re 0.674 0.826 0.500  0.05
3 Re 0.826 0.326 0.500  0.05
4 Re 0.326 0.174 0.500  0.05
5 Rh 0.000 0.000 0.000  0.15
6 Rh 0.500 0.500 0.000  0.15
7 Co 0.378 0.878 0.000  0.33
8 Co 0.878 0.622 0.000  0.34
9 Co 0.622 0.122 0.000  0.32
10 Co 0.122 0.378 0.000  0.34

***

Entry 7:
The following is a PBE calculation of crystalline Er4AgTe2 at its relaxed geometry, from the Alexandria database.

Density of states at the Fermi level: 11.87 states/eV per cell
Energy relative to the elements, uncorrected: -0.6741 eV per atom
Crystal system: orthorhombic

abc: 8.108 8.109 8.110
angles: 109.56 109.64 109.22
Fractional coordinates of all 14 atoms:
1 Er 0.978 0.243 0.338
2 Er 0.345 0.507 0.235
3 Er 0.905 0.640 0.662
4 Er 0.757 0.022 0.661
5 Er 0.360 0.096 0.339
6 Er 0.272 0.110 0.765
7 Er 0.493 0.655 0.765
8 Er 0.890 0.728 0.235
9 Ag 0.250 0.750 0.500
10 Ag 0.000 0.000 0.000
11 Te 0.664 0.375 0.789
12 Te 0.586 0.875 0.211
13 Te 0.625 0.337 0.212
14 Te 0.125 0.413 0.788

***

Entry 8:
The following is a PBE calculation of crystalline Ca2ZrMoBr at its relaxed geometry, from the Alexandria database.

Density of states at the Fermi level: 5.36 states/eV per cell
Energy relative to the elements, uncorrected: 1.1855 eV per atom
Crystal system: tetragonal

abc: 6.216 5.096 6.216
angles: 90.00 90.00 90.00
Site moments in Bohr magnetons follow the coordinates.
Fractional coordinates of all 5 atoms:
1 Mo 0.500 0.500 0.500  3.77
2 Ca 0.000 0.000 0.500  -0.12
3 Ca 0.500 0.000 0.000  -0.12
4 Br 0.000 0.500 0.000  0.04
5 Zr 0.000 0.000 0.000  -1.37

***

Entry 9:
The following is a PBE calculation of crystalline Nd2Al3Ga2 at its relaxed geometry, from the Alexandria database.

Density of states at the Fermi level: 3.86 states/eV per cell
Formation enthalpy at 0 K: -471 meV per atom
Crystal system: monoclinic

abc: 4.319 5.840 6.631
angles: 102.20 90.00 111.70
Fractional coordinates of all 7 atoms:
1 Nd 0.619 0.239 0.327
2 Nd 0.381 0.761 0.673
3 Al 0.295 0.590 0.136
4 Al 0.000 0.000 0.000
5 Al 0.705 0.410 0.864
6 Ga 0.095 0.190 0.660
7 Ga 0.905 0.810 0.340

***

Entry 10:
The following is a PBE calculation of crystalline PrNiAs at its relaxed geometry, from the Alexandria database.

Density of states at the Fermi level: 6.43 states/eV per cell
Formation enthalpy at 0 K: -1020 meV per atom
Crystal system: hexagonal

abc: 4.143 4.143 16.357
angles: 90.00 90.00 120.00
Fractional coordinates of all 12 atoms:
1 Pr 0.000 0.000 0.000
2 Pr 0.000 0.000 0.500
3 Pr 0.000 0.000 0.750
4 Pr 0.000 0.000 0.250
5 Ni 0.667 0.333 0.626
6 Ni 0.333 0.667 0.126
7 Ni 0.333 0.667 0.374
8 Ni 0.667 0.333 0.874
9 As 0.667 0.333 0.124
10 As 0.333 0.667 0.624
11 As 0.333 0.667 0.876
12 As 0.667 0.333 0.376

***

Entry 11:
The following is a PBE calculation of crystalline Al2NiPdW at its relaxed geometry, from the Alexandria database.

Density of states at the Fermi level: 4.64 states/eV per cell
Formation enthalpy at 0 K: 1079 meV per atom
Crystal system: tetragonal

abc: 4.841 4.430 4.841
angles: 90.00 90.00 90.00
Fractional coordinates of all 5 atoms:
1 Ni 0.000 0.500 0.000
2 Pd 0.500 0.500 0.500
3 W 0.000 0.000 0.000
4 Al 0.000 0.000 0.500
5 Al 0.500 0.000 0.000

***

Entry 12:
The following is a PBE calculation of crystalline CePmGa2Pt2 at its relaxed geometry, from the Alexandria database.

Density of states at the Fermi level: 6.62 states/eV per cell
Formation enthalpy at 0 K: -1002 meV per atom
Crystal system: trigonal

abc: 4.510 4.510 7.164
angles: 90.00 90.00 120.00
Site moments in Bohr magnetons follow the coordinates.
Fractional coordinates of all 6 atoms:
1 Ce 0.000 0.000 0.500  0.32
2 Pm 0.000 0.000 0.000  0.01
3 Ga 0.667 0.333 0.252  0.01
4 Ga 0.333 0.667 0.748  0.01
5 Pt 0.667 0.333 0.745  0.00
6 Pt 0.333 0.667 0.255  0.00